Entry from Alexandria: an optimized crystal structure of U2ZnSi4Ni3 (PBE).

Computed properties:
M_tot: 4.0 μB per cell
N(E_F): 16.4 states/eV/cell
SG: No. 115
uncorrected formation energy: -0.4992 eV per atom

a = 3.991 Å, b = 3.991 Å, c = 9.617 Å
α = 90.00°, β = 90.00°, γ = 90.00°
Site moments in Bohr magnetons follow the coordinates.
Atoms (fractional coordinates):
U: 0.500 0.000 0.244  1.89
U: 0.000 0.500 0.756  1.89
Zn: 0.500 0.500 0.500  -0.01
Si: 0.500 0.500 0.000  -0.01
Si: 0.000 0.000 0.000  -0.01
Si: 0.500 0.000 0.644  -0.02
Si: 0.000 0.500 0.356  -0.02
Ni: 0.000 0.000 0.500  -0.05
Ni: 0.500 0.000 0.880  0.02
Ni: 0.000 0.500 0.120  0.02